(1)
Compound: Cu2OsPt
Source: Alexandria
Functional: GGA-PBE
Structure: relaxed

Computed properties:
ΔE_f = 0.136 eV per atom
Energy above the most stable polymorph in this dataset = 68 meV per atom
Electronic total energy = -24.9 eV per formula unit
N(E_F) = 0.78 states/eV per atom

Cell lengths 2.7379, 2.7379, 7.2481 Å; angles 90.00, 90.00, 90.00 degrees
Fractional positions:
1 Cu 0.0000 0.0000 0.0137
2 Cu 0.5000 0.5000 0.2417
3 Os 0.0000 0.0000 0.4914
4 Pt 0.5000 0.5000 0.7532

(2)
Compound: Cu2OsPt
Source: Alexandria
Functional: GGA-PBE
Structure: relaxed

Computed properties:
ΔE_f = 0.786 eV per atom
Energy above the most stable polymorph in this dataset = 718 meV per atom
Electronic total energy = -22.3 eV per formula unit
N(E_F) = 1.11 states/eV per atom

Cell lengths 6.8642, 6.8642, 5.4817 Å; angles 51.24, 51.24, 90.00 degrees
Fractional positions:
1 Os 0.5000 0.5000 0.0000
2 Os 0.2500 0.7500 0.5000
3 Cu 0.6197 0.1250 0.2500
4 Cu 0.1303 0.6250 0.2500
5 Cu 0.3750 0.3803 0.7500
6 Cu 0.8750 0.8697 0.7500
7 Pt 0.0000 0.0000 0.0000
8 Pt 0.7500 0.2500 0.5000

Look up the N(E_F) of the first one. 0.78 states/eV per atom

What is the ΔE_f in the second record? 0.786 eV per atom